# Cd2HgRh | Alexandria via LeMat-Bulk | GGA-PBE | optimized geometry
# Crystal system: monoclinic
# ΔH_f (0 K) (eV/atom): 0.023
data_Cd2HgRh
_chemical_formula_sum 'Cd2 Hg1 Rh1'
_space_group_name_H-M_alt 'P 1 m 1'
_space_group_IT_number 6
_cell_length_a 3.1877
_cell_length_b 4.4670
_cell_length_c 5.7601
_cell_angle_alpha 90.00
_cell_angle_beta 105.12
_cell_angle_gamma 90.00
loop_
_space_group_symop_operation_xyz
'x,y,z'
'x,-y,z'
loop_
_atom_site_label
_atom_site_fract_x
_atom_site_fract_y
_atom_site_fract_z
Cd1 0.0000 0.0000 0.0000
Cd2 0.3174 0.5000 0.6674
Hg1 0.5995 0.5000 0.2059
Rh1 0.7365 0.0000 0.4996

---

# Ta4SiMo | Alexandria via LeMat-Bulk | GGA-PBE | optimized geometry
# Formation energy (no corrections) (eV/atom): 0.500
# Crystal system: cubic
data_Ta4SiMo
_chemical_formula_sum 'Ta16 Si4 Mo4'
_space_group_name_H-M_alt 'F -4 3 m'
_space_group_IT_number 216
_space_group_name_Hall 'F -4 2 3'
_cell_length_a 7.5702
_cell_length_b 7.5702
_cell_length_c 7.5702
_cell_angle_alpha 90.00
_cell_angle_beta 90.00
_cell_angle_gamma 90.00
loop_
_atom_site_label
_atom_site_fract_x
_atom_site_fract_y
_atom_site_fract_z
Ta1 0.1251 0.1251 0.1251
Si1 0.2500 0.2500 0.7500
Mo1 0.0000 0.0000 0.5000

---

# CaAc6Pr3 | Alexandria via LeMat-Bulk | GGA-PBE | optimized geometry
# Crystal system: monoclinic
# ΔH_f (0 K) (eV/atom): 0.064
data_CaAc6Pr3
_chemical_formula_sum 'Ca2 Ac12 Pr6'
_space_group_name_H-M_alt 'P 1 21/m 1'
_space_group_IT_number 11
_cell_length_a 13.8957
_cell_length_b 3.8589
_cell_length_c 17.2169
_cell_angle_alpha 90.00
_cell_angle_beta 113.47
_cell_angle_gamma 90.00
loop_
_space_group_symop_operation_xyz
'x,y,z'
'-x,-y,-z'
'-x,y+1/2,-z'
'x,-y+1/2,z'
loop_
_atom_site_label
_atom_site_fract_x
_atom_site_fract_y
_atom_site_fract_z
Ca1 0.1207 0.2500 0.4943
Ac1 0.0548 0.2500 0.7191
Ac2 0.2439 0.2500 0.0912
Ac3 0.2713 0.7500 0.9042
Ac4 0.3096 0.7500 0.7003
Ac5 0.3727 0.7500 0.4967
Ac6 0.4393 0.7500 0.2970
Pr1 0.0192 0.7500 0.9097
Pr2 0.2001 0.2500 0.3003
Pr3 0.4979 0.2500 0.8973

---

# Pm7Si2Pb | Alexandria via LeMat-Bulk | GGA-PBE | optimized geometry
# Formation energy (no corrections) (eV/atom): -0.344
# Crystal system: tetragonal
data_Pm7Si2Pb
_chemical_formula_sum 'Pm14 Si4 Pb2'
_space_group_name_H-M_alt 'I 4/m m m'
_space_group_IT_number 139
_space_group_name_Hall '-I 4 2'
_cell_length_a 5.0057
_cell_length_b 5.0057
_cell_length_c 23.7686
_cell_angle_alpha 90.00
_cell_angle_beta 90.00
_cell_angle_gamma 90.00
loop_
_atom_site_label
_atom_site_fract_x
_atom_site_fract_y
_atom_site_fract_z
Pm1 0.0000 0.0000 0.0000
Pm2 0.0000 0.5000 0.1034
Pm3 0.0000 0.5000 0.2500
Si1 0.0000 0.0000 0.1765
Pb1 0.0000 0.0000 0.5000

---

# Cs2SrPb2Se4 | Alexandria via LeMat-Bulk | GGA-PBE | optimized geometry
# Formation energy (no corrections) (eV/atom): -1.090
# Crystal system: monoclinic
data_Cs2SrPb2Se4
_chemical_formula_sum 'Cs4 Sr2 Pb4 Se8'
_space_group_name_H-M_alt 'C 1 2/m 1'
_space_group_IT_number 12
_cell_length_a 19.1565
_cell_length_b 4.4058
_cell_length_c 9.1533
_cell_angle_alpha 90.00
_cell_angle_beta 117.39
_cell_angle_gamma 90.00
loop_
_space_group_symop_operation_xyz
'x,y,z'
'-x,-y,-z'
'-x,y,-z'
'x,-y,z'
'x+1/2,y+1/2,z'
'-x+1/2,-y+1/2,-z'
'-x+1/2,y+1/2,-z'
'x+1/2,-y+1/2,z'
loop_
_atom_site_label
_atom_site_fract_x
_atom_site_fract_y
_atom_site_fract_z
Cs1 0.1197 0.0000 0.0473
Sr1 0.0000 0.0000 0.5000
Pb1 0.1834 0.5000 0.5298
Se1 0.0301 0.5000 0.2863
Se2 0.1830 0.0000 0.7320

---

# YIn4Os | Alexandria via LeMat-Bulk | GGA-PBE | optimized geometry
# Crystal system: cubic
# ΔH_f (0 K) (eV/atom): 0.490
data_YIn4Os
_chemical_formula_sum 'Y4 In16 Os4'
_space_group_name_H-M_alt 'F -4 3 m'
_space_group_IT_number 216
_space_group_name_Hall 'F -4 2 3'
_cell_length_a 8.2175
_cell_length_b 8.2175
_cell_length_c 8.2175
_cell_angle_alpha 90.00
_cell_angle_beta 90.00
_cell_angle_gamma 90.00
loop_
_atom_site_label
_atom_site_fract_x
_atom_site_fract_y
_atom_site_fract_z
Y1 0.0000 0.0000 0.0000
In1 0.1247 0.1247 0.6247
Os1 0.2500 0.2500 0.2500

---

# TbBe2GePd2 | Alexandria via LeMat-Bulk | GGA-PBE | optimized geometry
# Crystal system: tetragonal
# ΔH_f (0 K) (eV/atom): -0.222
data_TbBe2GePd2
_chemical_formula_sum 'Tb1 Be2 Ge1 Pd2'
_space_group_name_H-M_alt 'P 4/m m m'
_space_group_IT_number 123
_space_group_name_Hall '-P 4 2'
_cell_length_a 4.1713
_cell_length_b 4.1713
_cell_length_c 5.6529
_cell_angle_alpha 90.00
_cell_angle_beta 90.00
_cell_angle_gamma 90.00
loop_
_atom_site_label
_atom_site_fract_x
_atom_site_fract_y
_atom_site_fract_z
Tb1 0.0000 0.0000 0.0000
Be1 0.0000 0.5000 0.5000
Ge1 0.0000 0.0000 0.5000
Pd1 0.5000 0.5000 0.2484

---

# UHgTe2 | Alexandria via LeMat-Bulk | GGA-PBE | optimized geometry
# Formation energy (no corrections) (eV/atom): -0.424
# Crystal system: tetragonal
data_UHgTe2
_chemical_formula_sum 'U1 Hg1 Te2'
_space_group_name_H-M_alt 'P 4/m m m'
_space_group_IT_number 123
_space_group_name_Hall '-P 4 2'
_cell_length_a 3.8413
_cell_length_b 3.8413
_cell_length_c 7.6802
_cell_angle_alpha 90.00
_cell_angle_beta 90.00
_cell_angle_gamma 90.00
loop_
_atom_site_label
_atom_site_fract_x
_atom_site_fract_y
_atom_site_fract_z
U1 0.0000 0.0000 0.0000
Hg1 0.0000 0.0000 0.5000
Te1 0.5000 0.5000 0.2191

---

# LaReCl2 | Alexandria via LeMat-Bulk | GGA-PBE | optimized geometry
# Formation energy (no corrections) (eV/atom): -0.074
# Crystal system: orthorhombic
data_LaReCl2
_chemical_formula_sum 'La1 Re1 Cl2'
_space_group_name_H-M_alt 'P m m m'
_space_group_IT_number 47
_cell_length_a 3.4580
_cell_length_b 4.5776
_cell_length_c 5.4597
_cell_angle_alpha 90.00
_cell_angle_beta 90.00
_cell_angle_gamma 90.00
loop_
_space_group_symop_operation_xyz
'x,y,z'
'-x,-y,-z'
'-x,-y,z'
'x,y,-z'
'x,-y,-z'
'-x,y,z'
'-x,y,-z'
'x,-y,z'
loop_
_atom_site_label
_atom_site_fract_x
_atom_site_fract_y
_atom_site_fract_z
La1 0.0000 0.0000 0.0000
Re1 0.5000 0.0000 0.5000
Cl1 0.0000 0.5000 0.5000
Cl2 0.5000 0.5000 0.0000

---

# ErAl2Cu4 | Alexandria via LeMat-Bulk | GGA-PBE | optimized geometry
# Crystal system: tetragonal
# ΔH_f (0 K) (eV/atom): -0.347
data_ErAl2Cu4
_chemical_formula_sum 'Er2 Al4 Cu8'
_space_group_name_H-M_alt 'I 4/m m m'
_space_group_IT_number 139
_space_group_name_Hall '-I 4 2'
_cell_length_a 6.3920
_cell_length_b 6.3920
_cell_length_c 5.1140
_cell_angle_alpha 90.00
_cell_angle_beta 90.00
_cell_angle_gamma 90.00
loop_
_atom_site_label
_atom_site_fract_x
_atom_site_fract_y
_atom_site_fract_z
Er1 0.0000 0.0000 0.0000
Al1 0.0000 0.5000 0.2500
Cu1 0.1915 0.1915 0.5000

---

# MnCuBiSe2 | Alexandria via LeMat-Bulk | GGA-PBE | optimized geometry
# Formation energy (no corrections) (eV/atom): 0.437
# Crystal system: tetragonal
data_MnCuBiSe2
_chemical_formula_sum 'Mn1 Cu1 Bi1 Se2'
_space_group_name_H-M_alt 'P 4/m m m'
_space_group_IT_number 123
_space_group_name_Hall '-P 4 2'
_cell_length_a 4.6033
_cell_length_b 4.6033
_cell_length_c 5.7215
_cell_angle_alpha 90.00
_cell_angle_beta 90.00
_cell_angle_gamma 90.00
loop_
_atom_site_label
_atom_site_fract_x
_atom_site_fract_y
_atom_site_fract_z
Mn1 0.0000 0.0000 0.0000
Cu1 0.5000 0.5000 0.5000
Bi1 0.0000 0.0000 0.5000
Se1 0.0000 0.5000 0.0000

---

# TlCr2Pt | Alexandria via LeMat-Bulk | GGA-PBE | optimized geometry
# Crystal system: cubic
# ΔH_f (0 K) (eV/atom): 0.262
data_TlCr2Pt
_chemical_formula_sum 'Tl4 Cr8 Pt4'
_space_group_name_H-M_alt 'F -4 3 m'
_space_group_IT_number 216
_space_group_name_Hall 'F -4 2 3'
_cell_length_a 6.4608
_cell_length_b 6.4608
_cell_length_c 6.4608
_cell_angle_alpha 90.00
_cell_angle_beta 90.00
_cell_angle_gamma 90.00
loop_
_atom_site_label
_atom_site_fract_x
_atom_site_fract_y
_atom_site_fract_z
Tl1 0.0000 0.0000 0.0000
Cr1 0.0000 0.0000 0.5000
Cr2 0.2500 0.2500 0.7500
Pt1 0.2500 0.2500 0.2500

---

The records above give, respectively, total energy values of -2.348, -10.111, -4.035, -5.125, -3.840, -4.284, -4.736, -4.892, -5.341, -4.409, -4.386, -6.651 eV/atom.